Material: GaPd4Au3
Method: DFT, PBE-GGA
State: relaxed

Unit cell a=5.9310 b=5.9310 c=5.9310 alpha=82.04 beta=124.72 gamma=124.67
Last column: nearest neighbours and their distance in Å.
Sites, in units of the cell vectors:
Pd 0.0905 0.7511 0.8416  1 Ga 2.47, 2 Au 2.68-2.73
Pd 0.0905 0.2489 0.3393  1 Ga 2.47, 2 Au 2.68-2.73
Pd 0.5982 0.2450 0.3533  6 Pd 2.70-2.98, 1 Ga 2.71, 3 Au 2.86-2.90
Pd 0.1083 0.7550 0.3533  6 Pd 2.70-2.98, 1 Ga 2.71, 3 Au 2.86-2.90
Au 0.5840 0.7239 0.3079  1 Ga 2.63, 6 Pd 2.73-2.86, 1 Au 2.79
Au 0.8204 0.0000 0.8204  4 Pd 2.68-2.90, 2 Ga 2.76, 2 Au 2.79
Au 0.5840 0.2761 0.8601  1 Ga 2.63, 6 Pd 2.73-2.86, 1 Au 2.79
Ga 0.2751 0.5000 0.7751  4 Pd 2.47-2.71, 2 Au 2.63

The calculation puts the distance to the lowest polymorph of the same formula at 0.143 eV per atom. As for the total energy: -4.338 eV/atom. The total magnetization comes out at 0.00 μB per atom. The symmetry is Imm2, No. 44. The formation enthalpy at 0 K is -13.0 kJ/mol of atoms.


Material: SrPmTe4
Method: DFT, PBE-GGA
State: relaxed

Unit cell a=7.0049 b=7.0049 c=8.1731 alpha=90.00 beta=90.00 gamma=90.00
Last column: nearest neighbours and their distance in Å.
Sites, in units of the cell vectors:
Te 0.1510 0.3490 0.7682  1 Te 2.99, 2 Pm 3.27
Te 0.1510 0.6510 0.2318  1 Te 2.99, 2 Pm 3.27
Te 0.3490 0.8490 0.7682  1 Te 2.99, 2 Pm 3.27
Te 0.8490 0.6510 0.7682  1 Te 2.99, 2 Pm 3.27
Te 0.3490 0.1510 0.2318  1 Te 2.99, 2 Pm 3.27
Te 0.8490 0.3490 0.2318  1 Te 2.99, 2 Pm 3.27
Te 0.6510 0.1510 0.7682  1 Te 2.99, 2 Pm 3.27
Te 0.6510 0.8490 0.2318  1 Te 2.99, 2 Pm 3.27
Pm 0.0000 0.0000 0.0000  8 Te 3.27
Pm 0.5000 0.5000 0.0000  8 Te 3.27
Sr 0.5000 0.5000 0.5000  8 Te 3.45
Sr 0.0000 0.0000 0.5000  8 Te 3.45

For the formation energy from raw total energies, the calculation gives -1.1042 eV per atom. As for the total energy: -4.271 eV/atom. The total magnetization comes out at 0.00 μB per atom. The symmetry is P4/nbm, No. 125.


Material: Tl15In4Sn
Method: DFT, PBE-GGA
State: relaxed

Unit cell a=5.6010 b=5.6010 c=19.0376 alpha=90.00 beta=90.00 gamma=90.00
Last column: nearest neighbours and their distance in Å.
Sites, in units of the cell vectors:
Tl 0.0000 0.5000 0.6995  4 Tl 3.39, 4 In 3.39
Tl 0.5000 0.5000 0.4007  9 Tl 3.38-3.78
Tl 0.0000 0.5000 0.5000  4 Tl 3.38, 4 In 3.38
Tl 0.5000 0.5000 0.2005  8 Tl 3.39
Tl 0.0000 0.5000 0.3005  4 Tl 3.39, 4 In 3.39
Tl 0.5000 0.0000 0.8994  2 In 3.39, 4 Tl 3.39, 2 Sn 3.39
Tl 0.5000 0.0000 0.1006  2 In 3.39, 4 Tl 3.39, 2 Sn 3.39
Tl 0.0000 0.5000 0.1006  2 In 3.39, 4 Tl 3.39, 2 Sn 3.39
Tl 0.5000 0.0000 0.6995  4 Tl 3.39, 4 In 3.39
Tl 0.5000 0.5000 0.0000  8 Tl 3.39
Tl 0.5000 0.0000 0.3005  4 Tl 3.39, 4 In 3.39
Tl 0.5000 0.0000 0.5000  4 Tl 3.38, 4 In 3.38
Tl 0.5000 0.5000 0.5993  9 Tl 3.38-3.78
Tl 0.5000 0.5000 0.7995  8 Tl 3.39
Tl 0.0000 0.5000 0.8994  2 In 3.39, 4 Tl 3.39, 2 Sn 3.39
In 0.0000 0.0000 0.7995  8 Tl 3.39
In 0.0000 0.0000 0.5995  8 Tl 3.38-3.39
In 0.0000 0.0000 0.2005  8 Tl 3.39
In 0.0000 0.0000 0.4005  8 Tl 3.38-3.39
Sn 0.0000 0.0000 0.0000  8 Tl 3.39

As for the total energy: -2.503 eV/atom. The total magnetization comes out at 0.00 μB per atom. The symmetry is P4/mmm, No. 123. The formation enthalpy at 0 K is 1.9 kJ/mol of atoms.


Material: Nb4CrSe8
Method: DFT, PBE-GGA
State: relaxed

Unit cell a=6.9822 b=6.9822 c=13.8232 alpha=90.00 beta=90.00 gamma=120.00
Last column: nearest neighbours and their distance in Å.
Sites, in units of the cell vectors:
Nb 0.0000 0.5000 0.0000  6 Se 2.62-2.63
Nb 0.0000 0.5000 0.5000  6 Se 2.62-2.63
Nb 0.5000 0.0000 0.5000  6 Se 2.62-2.63
Nb 0.0000 0.0000 0.0000  6 Se 2.64
Nb 0.5000 0.5000 0.0000  6 Se 2.62-2.63
Nb 0.5000 0.5000 0.5000  6 Se 2.62-2.63
Nb 0.0000 0.0000 0.5000  6 Se 2.64
Nb 0.5000 0.0000 0.0000  6 Se 2.62-2.63
Se 0.3333 0.6667 0.8791  3 Nb 2.62
Se 0.6667 0.3333 0.1209  3 Nb 2.62
Se 0.8327 0.1673 0.6230  3 Nb 2.63-2.64, 1 Cr 2.68
Se 0.3346 0.1673 0.8770  3 Nb 2.63-2.64, 1 Cr 2.68
Se 0.6654 0.8327 0.3770  3 Nb 2.63-2.64, 1 Cr 2.68
Se 0.8327 0.6654 0.8770  3 Nb 2.63-2.64, 1 Cr 2.68
Se 0.6667 0.3333 0.3791  3 Nb 2.62
Se 0.1673 0.3346 0.3770  3 Nb 2.63-2.64, 1 Cr 2.68
Se 0.6654 0.8327 0.1230  3 Nb 2.63-2.64, 1 Cr 2.68
Se 0.8327 0.1673 0.8770  3 Nb 2.63-2.64, 1 Cr 2.68
Se 0.3346 0.1673 0.6230  3 Nb 2.63-2.64, 1 Cr 2.68
Se 0.8327 0.6654 0.6230  3 Nb 2.63-2.64, 1 Cr 2.68
Se 0.1673 0.8327 0.3770  3 Nb 2.63-2.64, 1 Cr 2.68
Se 0.3333 0.6667 0.6209  3 Nb 2.62
Se 0.1673 0.3346 0.1230  3 Nb 2.63-2.64, 1 Cr 2.68
Se 0.1673 0.8327 0.1230  3 Nb 2.63-2.64, 1 Cr 2.68
Cr 0.0000 0.0000 0.2500  6 Se 2.68
Cr 0.0000 0.0000 0.7500  6 Se 2.68

The calculation puts the distance to the lowest polymorph of the same formula at 0.000 eV per atom. For the formation energy from raw total energies, the calculation gives -0.7037 eV per atom. As for the total energy: -6.687 eV/atom. The total magnetization comes out at 0.28 μB per atom. The symmetry is P6_3/mmc, No. 194.


Material: K3ZrU3S8
Method: DFT, PBE-GGA
State: relaxed

Unit cell a=7.8708 b=7.8703 c=8.8467 alpha=116.42 beta=90.01 gamma=120.00
Last column: nearest neighbours and their distance in Å.
Sites, in units of the cell vectors:
S 0.2261 0.4522 0.6960  1 Zr 2.65, 2 U 2.75
S 0.2261 0.9700 0.6960  1 Zr 2.65, 2 U 2.75
S 0.7739 0.5478 0.3040  1 Zr 2.65, 2 U 2.75
S 0.7439 0.9700 0.6960  1 Zr 2.65, 2 U 2.75
S 0.2561 0.0300 0.3040  1 Zr 2.65, 2 U 2.75
S 0.2646 0.5292 0.2938  3 U 2.76
S 0.7354 0.4708 0.7062  3 U 2.76
S 0.7739 0.0300 0.3040  1 Zr 2.65, 2 U 2.75
K 0.5000 0.5000 0.0000  6 S 3.18-3.21
K 0.0000 0.0000 0.0000  6 S 3.18-3.21
K 0.0000 0.5000 0.0000  6 S 3.18-3.21
U 0.5000 0.5000 0.5000  6 S 2.75-2.76
U 0.0000 0.5000 0.5000  6 S 2.75-2.76
U 0.5000 0.0000 0.5000  6 S 2.75-2.76
Zr 0.0000 0.0000 0.5000  6 S 2.65

For the formation energy from raw total energies, the calculation gives -1.4493 eV per atom. As for the total energy: -6.698 eV/atom. The total magnetization comes out at 0.60 μB per atom. The symmetry is R-3m, No. 166.


Material: HoSc2O4
Method: DFT, PBE-GGA
State: relaxed

Unit cell a=6.4536 b=6.4536 c=6.4538 alpha=119.98 beta=119.98 gamma=90.03
Last column: nearest neighbours and their distance in Å.
Sites, in units of the cell vectors:
O 0.8637 0.5910 0.7272  1 Ho 2.16, 3 Sc 2.18
O 0.3862 0.1590 0.7728  1 Ho 2.16, 3 Sc 2.18
O 0.8635 0.1363 0.7273  1 Ho 2.16, 3 Sc 2.18
O 0.8410 0.6138 0.2273  1 Ho 2.16, 3 Sc 2.18
O 0.3865 0.6138 0.7728  1 Ho 2.16, 3 Sc 2.18
O 0.8638 0.1365 0.2728  1 Ho 2.16, 3 Sc 2.18
O 0.4090 0.1362 0.2727  1 Ho 2.16, 3 Sc 2.18
O 0.3862 0.6134 0.2272  1 Ho 2.16, 3 Sc 2.18
Ho 0.2500 0.7500 0.5000  4 O 2.16
Ho 0.0000 0.0000 0.0000  4 O 2.16
Sc 0.6250 0.8750 0.2500  6 O 2.18
Sc 0.6250 0.3750 0.7500  6 O 2.18
Sc 0.1250 0.3750 0.7500  6 O 2.18
Sc 0.6250 0.3750 0.2500  6 O 2.18

The calculation puts the distance to the lowest polymorph of the same formula at 0.074 eV per atom. For the formation energy from raw total energies, the calculation gives -3.2929 eV per atom. As for the total energy: -8.589 eV/atom. The total magnetization comes out at 0.00 μB per atom. The symmetry is Fd-3m, No. 227.


Material: YScNiRu
Method: DFT, PBE-GGA
State: relaxed

Unit cell a=4.6694 b=4.6694 c=4.6694 alpha=60.00 beta=60.00 gamma=60.00
Last column: nearest neighbours and their distance in Å.
Sites, in units of the cell vectors:
Sc 0.0000 0.0000 0.0000  4 Ni 2.86, 4 Ru 2.86
Y 0.5000 0.5000 0.5000  4 Ni 2.86, 4 Ru 2.86
Ru 0.7500 0.7500 0.7500  4 Sc 2.86, 4 Y 2.86
Ni 0.2500 0.2500 0.2500  4 Sc 2.86, 4 Y 2.86

The calculation puts the distance to the lowest polymorph of the same formula at 0.033 eV per atom. As for the total energy: -7.395 eV/atom. The total magnetization comes out at 0.00 μB per atom. The symmetry is F-43m, No. 216. The formation enthalpy at 0 K is -41.7 kJ/mol of atoms.


Material: Ac4TbPr3
Method: DFT, PBE-GGA
State: relaxed

Unit cell a=7.6185 b=7.6173 c=10.9667 alpha=90.00 beta=90.00 gamma=90.00
Last column: nearest neighbours and their distance in Å.
Sites, in units of the cell vectors:
Pr 0.2528 0.0607 0.2500  8 Ac 3.78-3.85, 2 Tb 3.83, 2 Pr 3.85
Pr 0.9997 0.3103 0.0000  8 Ac 3.80-3.85, 4 Pr 3.85
Pr 0.7472 0.5607 0.7500  8 Ac 3.78-3.85, 2 Tb 3.83, 2 Pr 3.85
Pr 0.0003 0.8103 0.5000  8 Ac 3.80-3.85, 4 Pr 3.85
Pr 0.7472 0.5607 0.2500  8 Ac 3.78-3.85, 2 Tb 3.83, 2 Pr 3.85
Pr 0.2528 0.0607 0.7500  8 Ac 3.78-3.85, 2 Tb 3.83, 2 Pr 3.85
Ac 0.2512 0.5606 0.7508  6 Pr 3.78-3.85, 2 Tb 3.83-3.84, 4 Ac 3.84-3.85
Ac 0.2512 0.5606 0.2492  6 Pr 3.78-3.85, 2 Tb 3.83-3.84, 4 Ac 3.84-3.85
Ac 0.7488 0.0606 0.2508  6 Pr 3.78-3.85, 2 Tb 3.83-3.84, 4 Ac 3.84-3.85
Ac 0.9995 0.8112 0.0000  6 Pr 3.80-3.85, 2 Tb 3.80-3.81, 4 Ac 3.85
Ac 0.4995 0.8100 0.5000  6 Pr 3.80-3.83, 2 Tb 3.80-3.81, 4 Ac 3.84
Ac 0.5005 0.3100 0.0000  6 Pr 3.80-3.83, 2 Tb 3.80-3.81, 4 Ac 3.84
Ac 0.7488 0.0606 0.7492  6 Pr 3.78-3.85, 2 Tb 3.83-3.84, 4 Ac 3.84-3.85
Ac 0.0005 0.3112 0.5000  6 Pr 3.80-3.85, 2 Tb 3.80-3.81, 4 Ac 3.85
Tb 0.5002 0.8107 0.0000  8 Ac 3.80-3.84, 4 Pr 3.83
Tb 0.4998 0.3107 0.5000  8 Ac 3.80-3.84, 4 Pr 3.83

As for the total energy: -4.391 eV/atom. The total magnetization comes out at 0.00 μB per atom. The symmetry is Pmn2_1, No. 31. The formation enthalpy at 0 K is 3.3 kJ/mol of atoms.


Material: Pu2ZrHg
Method: DFT, PBE-GGA
State: relaxed

Unit cell a=4.0219 b=4.0219 c=6.3187 alpha=90.00 beta=90.00 gamma=90.00
Last column: nearest neighbours and their distance in Å.
Sites, in units of the cell vectors:
Zr 0.5000 0.5000 0.5000  2 Hg 3.16, 8 Pu 3.27
Pu 0.0000 0.0000 0.7552  2 Pu 3.09-3.22, 4 Hg 3.24, 4 Zr 3.27
Pu 0.0000 0.0000 0.2448  2 Pu 3.09-3.22, 4 Hg 3.24, 4 Zr 3.27
Hg 0.5000 0.5000 0.0000  2 Zr 3.16, 8 Pu 3.24

The calculation puts the distance to the lowest polymorph of the same formula at 0.106 eV per atom. As for the total energy: -9.251 eV/atom. The total magnetization comes out at 3.27 μB per atom. The symmetry is P4/mmm, No. 123. The formation enthalpy at 0 K is 12.3 kJ/mol of atoms.


Material: PRu2F
Method: DFT, PBE-GGA
State: relaxed

Unit cell a=4.0728 b=4.0728 c=4.0728 alpha=60.00 beta=60.00 gamma=60.00
Last column: nearest neighbours and their distance in Å.
Sites, in units of the cell vectors:
Ru 0.2500 0.2500 0.2500  4 F 2.49, 4 P 2.49
Ru 0.7500 0.7500 0.7500  4 F 2.49, 4 P 2.49
P 0.5000 0.5000 0.5000  8 Ru 2.49
F 0.0000 0.0000 0.0000  8 Ru 2.49

The calculation puts the distance to the lowest polymorph of the same formula at 0.000 eV per atom. For the formation energy from raw total energies, the calculation gives -0.3321 eV per atom. As for the total energy: -6.790 eV/atom. The total magnetization comes out at 0.00 μB per atom. The symmetry is Fm-3m, No. 225.


Material: Pr2CuSn2
Method: DFT, PBE-GGA
State: relaxed

Unit cell a=4.6079 b=6.1982 c=10.2610 alpha=87.86 beta=77.02 gamma=68.18
Last column: nearest neighbours and their distance in Å.
Sites, in units of the cell vectors:
Cu 0.6320 0.0818 0.6541  4 Sn 2.67-2.84
Cu 0.3680 0.9182 0.3459  4 Sn 2.67-2.84
Pr 0.9213 0.2645 0.8929  6 Sn 3.27-3.38, 2 Cu 3.44
Pr 0.0787 0.7355 0.1071  6 Sn 3.27-3.38, 2 Cu 3.44
Pr 0.3265 0.6799 0.6671  7 Sn 3.22-3.49, 4 Cu 3.27-3.56
Pr 0.6735 0.3201 0.3329  7 Sn 3.22-3.49, 4 Cu 3.27-3.56
Sn 0.0919 0.2507 0.5656  3 Cu 2.67-2.84
Sn 0.6437 0.8339 0.8787  1 Cu 2.72, 1 Sn 3.01
Sn 0.9081 0.7493 0.4344  3 Cu 2.67-2.84
Sn 0.3563 0.1661 0.1213  1 Cu 2.72, 1 Sn 3.01

As for the total energy: -4.963 eV/atom. The total magnetization comes out at 0.06 μB per atom. The symmetry is C2/m, No. 12. The formation enthalpy at 0 K is -60.9 kJ/mol of atoms.


Material: Ce4Sn8Au
Method: DFT, PBE-GGA
State: relaxed

Unit cell a=4.4379 b=4.5199 c=17.7126 alpha=90.00 beta=90.00 gamma=90.00
Last column: nearest neighbours and their distance in Å.
Sites, in units of the cell vectors:
Au 0.0000 0.0000 0.3236  5 Sn 2.67-2.85
Sn 0.0000 0.0000 0.4744  1 Au 2.67, 2 Sn 2.96
Sn 0.5000 0.0000 0.5855  2 Sn 2.96, 4 Ce 3.20
Sn 0.5000 0.0000 0.2244  2 Au 2.83, 4 Sn 3.17
Sn 0.0000 0.5000 0.9281  2 Sn 3.02, 4 Ce 3.23
Sn 0.5000 0.5000 0.7546  4 Sn 3.17, 4 Ce 3.34-3.37
Sn 0.5000 0.5000 0.0437  2 Sn 3.02, 4 Ce 3.25
Sn 0.0000 0.0000 0.7523  4 Sn 3.17, 4 Ce 3.35-3.36
Sn 0.0000 0.5000 0.2258  2 Au 2.85, 4 Sn 3.17
Ce 0.0000 0.0000 0.0855  10 Sn 3.25-3.59
Ce 0.5000 0.0000 0.8937  10 Sn 3.23-3.49
Ce 0.0000 0.5000 0.6118  10 Sn 3.20-3.37
Ce 0.5000 0.5000 0.3996  8 Sn 3.43-3.84, 4 Au 3.44

As for the total energy: -5.075 eV/atom. The total magnetization comes out at 0.23 μB per atom. The symmetry is Pmm2, No. 25. The formation enthalpy at 0 K is -51.5 kJ/mol of atoms.